(1)
A geometry-optimized Pm2BeGaPt6 structure, computed with GGA-PBE.

Geometry as POSCAR:
```
Pm2BeGaPt6
1.0
4.967 -2.869 0.000
4.967 2.869 0.000
-3.313 0.000 6.583
Pm Be Ga Pt
2 1 1 6
Cartesian
1.652 0.000 0.916
4.970 0.000 5.667
-1.656 0.000 3.291
4.967 0.000 0.000
0.054 0.000 4.634
2.462 1.388 4.636
4.160 1.388 1.946
2.462 -1.388 4.636
4.160 -1.388 1.946
6.568 0.000 1.948
```

Output
Space-group type = C2/m (12)
ΔH_f (0 K) = -861 meV per atom

***

(2)
A geometry-optimized Sm5Rh4 structure, computed with GGA-PBE.

Geometry as POSCAR:
```
Sm5Rh4
1.0
5.476 -1.984 0.000
5.476 1.984 0.000
-3.375 0.000 10.014
Sm Rh
5 4
Cartesian
0.000 0.000 0.000
-0.128 0.000 3.975
-0.230 0.000 8.052
7.807 0.000 1.962
7.706 0.000 6.039
2.856 0.000 3.927
4.729 0.000 1.827
2.848 0.000 8.188
4.722 0.000 6.087
```

Output
Space-group type = C2/m (12)
Relative energy among the computed polymorphs = 36 meV per atom
ΔH_f (0 K) = -674 meV per atom

***

(3)
A geometry-optimized CeSmEuY structure, computed with GGA-PBE.

Geometry as POSCAR:
```
CeSmEuY
1.0
0.000 4.105 4.105
4.105 0.000 4.105
4.105 4.105 0.000
Ce Sm Eu Y
1 1 1 1
Cartesian
0.000 0.000 0.000
6.157 6.157 6.157
4.105 4.105 4.105
2.052 2.052 2.052
```

Output
Space-group type = F-43m (216)
ΔH_f (0 K) = 228 meV per atom

***

(4)
A geometry-optimized Mg2RuBr structure, computed with GGA-PBE.

Geometry as POSCAR:
```
Mg2RuBr
1.0
0.000 3.319 3.319
3.319 0.000 3.319
3.319 3.319 0.000
Mg Ru Br
2 1 1
Cartesian
0.000 0.000 0.000
1.660 1.660 1.660
4.979 4.979 4.979
3.319 3.319 3.319
```

Output
Raw formation energy = 1.6 eV per formula unit
Space-group type = F-43m (216)
Relative energy among the computed polymorphs = 617 meV per atom

***

Repeat the fourth record exactly.
A geometry-optimized Mg2RuBr structure, computed with GGA-PBE.

Geometry as POSCAR:
```
Mg2RuBr
1.0
0.000 3.319 3.319
3.319 0.000 3.319
3.319 3.319 0.000
Mg Ru Br
2 1 1
Cartesian
0.000 0.000 0.000
1.660 1.660 1.660
4.979 4.979 4.979
3.319 3.319 3.319
```

Output
Raw formation energy = 1.6 eV per formula unit
Space-group type = F-43m (216)
Relative energy among the computed polymorphs = 617 meV per atom

***

What did the first record say?
A geometry-optimized Pm2BeGaPt6 structure, computed with GGA-PBE.

Geometry as POSCAR:
```
Pm2BeGaPt6
1.0
4.967 -2.869 0.000
4.967 2.869 0.000
-3.313 0.000 6.583
Pm Be Ga Pt
2 1 1 6
Cartesian
1.652 0.000 0.916
4.970 0.000 5.667
-1.656 0.000 3.291
4.967 0.000 0.000
0.054 0.000 4.634
2.462 1.388 4.636
4.160 1.388 1.946
2.462 -1.388 4.636
4.160 -1.388 1.946
6.568 0.000 1.948
```

Output
Space-group type = C2/m (12)
ΔH_f (0 K) = -861 meV per atom